Density functional theory data (PBE) for a relaxed structure of Y2ZrNi.

- SG = Amm2
- relative energy among the computed polymorphs (meV per atom) = 3.2
- total magnetic moment (μB per cell) = 0.0
- calculated total energy (eV per atom) = -6.93

a b c (Å): 3.5644 4.8584 6.2134
angles (deg): 67.02 90.00 90.00
Fractional coordinates of all 4 atoms:
Ni  0.5000  0.5334  0.8070
Y  0.0000  0.9880  0.8993
Y  0.5000  0.2925  0.2904
Zr  0.0000  0.6861  0.5033

---

Density functional theory data (PBE) for a relaxed structure of Y2Zr3Ni2.

- SG = C2/m
- total magnetic moment (μB per cell) = 0.0
- calculated total energy (eV per atom) = -7.39

a b c (Å): 3.4624 5.9291 8.3509
angles (deg): 70.23 78.04 73.02
Fractional coordinates of all 7 atoms:
Y  0.1547  0.4895  0.2011
Y  0.8453  0.5105  0.7989
Zr  0.5000  0.0000  0.0000
Zr  0.3816  0.8010  0.4358
Zr  0.6184  0.1990  0.5642
Ni  0.1486  0.9248  0.7780
Ni  0.8514  0.0752  0.2220

---

Density functional theory data (PBE) for a relaxed structure of YZr2Ni2.

- SG = P4/mbm
- relative energy among the computed polymorphs (meV per atom) = 0.0
- total magnetic moment (μB per cell) = 0.0
- calculated total energy (eV per atom) = -7.29

a b c (Å): 7.5467 7.5467 3.3772
angles (deg): 90.00 90.00 90.00
Fractional coordinates of all 10 atoms:
Y  0.0000  0.0000  0.0000
Y  0.5000  0.5000  0.0000
Ni  0.3798  0.8798  0.0000
Ni  0.8798  0.6202  0.0000
Ni  0.6202  0.1202  0.0000
Ni  0.1202  0.3798  0.0000
Zr  0.1605  0.6605  0.5000
Zr  0.6605  0.8395  0.5000
Zr  0.8395  0.3395  0.5000
Zr  0.3395  0.1605  0.5000

---

Density functional theory data (PBE) for a relaxed structure of Y2Zr3Ni4.

- SG = P2_1/c
- total magnetic moment (μB per cell) = 0.0
- calculated total energy (eV per atom) = -7.22

a b c (Å): 7.7589 6.8539 6.9424
angles (deg): 90.00 90.00 109.65
Fractional coordinates of all 18 atoms:
Y  0.5929  0.1968  0.3319
Y  0.9071  0.8032  0.8319
Y  0.4071  0.8032  0.6681
Y  0.0929  0.1968  0.1681
Zr  0.0000  0.5000  0.5000
Zr  0.5000  0.5000  0.0000
Zr  0.7525  0.2441  0.8489
Zr  0.7475  0.7559  0.3489
Zr  0.2475  0.7559  0.1511
Zr  0.2525  0.2441  0.6511
Ni  0.8925  0.0994  0.5483
Ni  0.6075  0.9006  0.0483
Ni  0.1075  0.9006  0.4517
Ni  0.3925  0.0994  0.9517
Ni  0.8900  0.5162  0.1346
Ni  0.6100  0.4838  0.6346
Ni  0.1100  0.4838  0.8654
Ni  0.3900  0.5162  0.3654